(1)
First-principles (GGA-PBE) data for a geometry-optimized Sm4SbPt structure, as listed in Alexandria via LeMat-Bulk.

Calculated values
* total magnetic moment: 0.00 Bohr magnetons per cell
* energy relative to the lowest polymorph listed for this composition: 0 meV per atom
* ΔE_f (raw): -0.783 eV/atom

Cell lengths 6.226, 6.724, 8.939 Å; angles 90.00, 110.14, 90.00 degrees
Fractional positions:
Sm (0.171, 0.250, 0.101)
Sm (0.287, 0.750, 0.393)
Sm (0.292, 0.000, 0.789)
Sm (0.292, 0.500, 0.789)
Sm (0.708, 0.000, 0.211)
Sm (0.708, 0.500, 0.211)
Sm (0.713, 0.250, 0.607)
Sm (0.829, 0.750, 0.899)
Sb (0.161, 0.250, 0.453)
Sb (0.839, 0.750, 0.547)
Pt (0.305, 0.750, 0.070)
Pt (0.695, 0.250, 0.930)



(2)
First-principles (GGA-PBE) data for a geometry-optimized Cs3Tl2I7 structure, as listed in Alexandria via LeMat-Bulk.

Calculated values
* total magnetic moment: 0.00 Bohr magnetons per cell
* energy relative to the lowest polymorph listed for this composition: 0 meV per atom
* ΔE_f (raw): -0.965 eV/atom

Cell lengths 16.628, 16.626, 6.242 Å; angles 79.20, 79.16, 21.64 degrees
Fractional positions:
Cs (0.000, 0.000, 0.000)
Cs (0.180, 0.180, 0.820)
Cs (0.820, 0.820, 0.180)
Tl (0.399, 0.399, 0.601)
Tl (0.601, 0.601, 0.399)
I (0.097, 0.097, 0.403)
I (0.300, 0.300, 0.700)
I (0.403, 0.403, 0.097)
I (0.500, 0.500, 0.500)
I (0.597, 0.597, 0.903)
I (0.700, 0.700, 0.300)
I (0.903, 0.903, 0.597)



(3)
First-principles (GGA-PBE) data for a geometry-optimized MgCuBi structure, as listed in Alexandria via LeMat-Bulk.

Calculated values
* total magnetic moment: 0.00 Bohr magnetons per cell
* DFT formation energy: -0.06 eV per formula unit

Cell lengths 5.407, 5.522, 5.537 Å; angles 75.89, 61.00, 60.69 degrees
Fractional positions:
Mg (0.000, 0.000, 0.000)
Mg (0.500, 0.343, 0.658)
Cu (0.425, 0.496, 0.154)
Cu (0.925, 0.497, 0.155)
Bi (0.328, 0.011, 0.334)
Bi (0.827, 0.678, 0.671)



(4)
First-principles (GGA-PBE) data for a geometry-optimized TbThTc structure, as listed in Alexandria via LeMat-Bulk.

Calculated values
* total magnetic moment: 0.00 Bohr magnetons per cell
* energy relative to the lowest polymorph listed for this composition: 37 meV per atom
* DFT formation energy: -0.20 eV per formula unit

Cell lengths 6.938, 6.938, 6.938 Å; angles 150.89, 150.89, 41.63 degrees
Fractional positions:
Tb (0.000, 0.000, 0.000)
Th (0.263, 0.263, 0.000)
Tc (0.638, 0.638, 0.000)